Entry from Alexandria: a relaxed structure of TaB3Pd (PBE-GGA).

a = 4.228 Å, b = 4.228 Å, c = 4.228 Å
α = 90.00°, β = 90.00°, γ = 90.00°
Element x y z (fractional)
Ta: 0.000 0.000 0.000
B: 0.000 0.000 0.500
B: 0.000 0.500 0.000
B: 0.500 0.000 0.000
Pd: 0.500 0.500 0.500

Output
Total moment (μB/cell): 0.00
Polymorph energy (0 for the lowest one) (meV per atom): 97
ΔH_f (0 K) (eV per atom): 1.55


Entry from Alexandria: a relaxed structure of Tb4Sm3Y5 (PBE-GGA).

a = 8.586 Å, b = 8.586 Å, c = 9.296 Å
α = 114.45°, β = 114.45°, γ = 40.38°
Element x y z (fractional)
Tb: 0.082 0.082 0.442
Tb: 0.212 0.212 0.879
Tb: 0.788 0.788 0.121
Tb: 0.918 0.918 0.558
Sm: 0.208 0.208 0.230
Sm: 0.500 0.500 0.000
Sm: 0.792 0.792 0.770
Y: 0.000 0.000 0.000
Y: 0.327 0.327 0.612
Y: 0.426 0.426 0.300
Y: 0.574 0.574 0.700
Y: 0.673 0.673 0.388

Output
Total moment (μB/cell): 0.35
Polymorph energy (0 for the lowest one) (meV per atom): 213
ΔH_f (0 K) (eV per atom): 0.23


Entry from Alexandria: a relaxed structure of TlInPd (PBE-GGA).

a = 6.609 Å, b = 6.609 Å, c = 6.609 Å
α = 90.00°, β = 90.00°, γ = 90.00°
Element x y z (fractional)
Tl: 0.000 0.000 0.000
Tl: 0.000 0.500 0.500
Tl: 0.500 0.000 0.500
Tl: 0.500 0.500 0.000
In: 0.000 0.000 0.500
In: 0.000 0.500 0.000
In: 0.500 0.000 0.000
In: 0.500 0.500 0.500
Pd: 0.250 0.250 0.250
Pd: 0.250 0.750 0.750
Pd: 0.750 0.250 0.750
Pd: 0.750 0.750 0.250

Output
Total moment (μB/cell): 0.00
ΔH_f (0 K) (eV per atom): -0.21


> Which value of total moment does entry 1 give?

0.00 μB/cell


> Among the records above, which one has the lowest ΔH_f (0 K)?

TlInPd


What did the third record say?
Entry from Alexandria: a relaxed structure of TlInPd (PBE-GGA).

a = 6.609 Å, b = 6.609 Å, c = 6.609 Å
α = 90.00°, β = 90.00°, γ = 90.00°
Element x y z (fractional)
Tl: 0.000 0.000 0.000
Tl: 0.000 0.500 0.500
Tl: 0.500 0.000 0.500
Tl: 0.500 0.500 0.000
In: 0.000 0.000 0.500
In: 0.000 0.500 0.000
In: 0.500 0.000 0.000
In: 0.500 0.500 0.500
Pd: 0.250 0.250 0.250
Pd: 0.250 0.750 0.750
Pd: 0.750 0.250 0.750
Pd: 0.750 0.750 0.250

Output
Total moment (μB/cell): 0.00
ΔH_f (0 K) (eV per atom): -0.21